(1)
VASP calculation (GGA-PBE) on a relaxed structure of La7Pr16Er6.

POSCAR file:
```
La7Pr16Er6
1.0
0.0000 8.0285 8.0285
8.0285 0.0000 8.0285
8.0285 8.0285 0.0000
La Pr Er
7 16 6
Cartesian
0.0000 0.0000 0.0000
4.0143 4.0143 0.0000
4.0143 0.0000 4.0143
8.0285 4.0143 4.0143
0.0000 4.0143 4.0143
4.0143 8.0285 4.0143
4.0143 4.0143 8.0285
10.5145 5.5426 5.5426
1.9574 1.9574 1.9574
6.0712 6.0712 1.9574
6.0712 1.9574 6.0712
5.5426 5.5426 5.5426
10.5145 10.5145 5.5426
10.5145 5.5426 10.5145
14.0997 9.9859 9.9859
1.9574 6.0712 6.0712
5.5426 10.5145 5.5426
5.5426 5.5426 10.5145
10.5145 10.5145 10.5145
9.9859 14.0997 9.9859
9.9859 9.9859 14.0997
14.0997 14.0997 14.0997
5.5426 10.5145 10.5145
8.0285 8.0285 4.6865
8.0285 4.6865 8.0285
11.3706 8.0285 8.0285
4.6865 8.0285 8.0285
8.0285 11.3706 8.0285
8.0285 8.0285 11.3706
```

Output
The magnetic moment comes out at 0.00 μB per formula unit. The value obtained for the density of states at the Fermi level is 54.2 states/eV/cell. The value obtained for the energy relative to the elements is 0.245 eV/atom. As for the total energy: -4.5258 eV per atom. Its space group is Fm-3m (225).

***

(2)
VASP calculation (GGA-PBE) on a relaxed structure of HfAs2HRh.

POSCAR file:
```
HfAs2HRh
1.0
4.5589 0.0000 0.0000
0.0000 4.5589 0.0000
0.0000 0.0000 3.4156
Hf As H Rh
1 2 1 1
Cartesian
0.0000 0.0000 0.0000
0.0000 2.2794 1.7078
2.2794 0.0000 1.7078
2.2794 2.2794 1.7078
2.2794 2.2794 0.0000
```

Output
The magnetic moment comes out at 0.00 μB per formula unit. The value obtained for the density of states at the Fermi level is 1.9 states/eV/cell. As for the total energy: -6.3296 eV per atom. Its space group is P4/mmm (123).

***

(3)
VASP calculation (GGA-PBE) on a relaxed structure of HoMgAl4.

POSCAR file:
```
HoMgAl4
1.0
0.0000 3.8841 3.8841
3.8841 0.0000 3.8841
3.8841 3.8841 0.0000
Ho Mg Al
1 1 4
Cartesian
0.0000 0.0000 0.0000
5.8262 5.8262 5.8262
2.9107 2.9107 2.9107
4.8575 4.8575 2.9107
4.8575 2.9107 4.8575
2.9107 4.8575 4.8575
```

Output
The magnetic moment comes out at 0.00 μB per formula unit. The value obtained for the density of states at the Fermi level is 3.0 states/eV/cell. The value obtained for the energy above the most stable polymorph in this dataset is 0.010 eV per atom. The value obtained for the energy relative to the elements is -0.247 eV/atom. As for the total energy: -3.7712 eV per atom. Its space group is F-43m (216).

***

(4)
VASP calculation (GGA-PBE) on a relaxed structure of TbLuAgHg.

POSCAR file:
```
TbLuAgHg
1.0
7.3010 0.0000 0.0000
0.0000 7.3010 0.0000
0.0000 0.0000 7.3010
Tb Lu Ag Hg
4 4 4 4
Cartesian
0.0000 0.0000 0.0000
0.0000 3.6505 3.6505
3.6505 0.0000 3.6505
3.6505 3.6505 0.0000
0.0000 0.0000 3.6505
0.0000 3.6505 0.0000
3.6505 0.0000 0.0000
3.6505 3.6505 3.6505
1.8252 1.8252 1.8252
1.8252 5.4757 5.4757
5.4757 1.8252 5.4757
5.4757 5.4757 1.8252
1.8252 1.8252 5.4757
1.8252 5.4757 1.8252
5.4757 1.8252 1.8252
5.4757 5.4757 5.4757
```

Output
The magnetic moment comes out at 0.00 μB per formula unit. The value obtained for the density of states at the Fermi level is 19.2 states/eV/cell. The value obtained for the energy relative to the elements is -0.401 eV/atom. As for the total energy: -3.4769 eV per atom. Its space group is F-43m (216).